No. 1
# LaY6Tm5

A geometry-optimized LaY6Tm5 structure (PBE, the Alexandria database).

Its volume is 380.4 Å³ per cell. The value obtained for the total energy is -0.2012 Ha/atom. For the formation energy, the calculation gives 31 meV/atom.

a b c (Å): 6.1468 6.1541 12.3061
angles (deg): 99.54 109.39 60.04
With the nearest neighbours (Å) after each atom.
Element x y z (fractional)
Tm  0.0000  0.0000  0.5000  6 Y 3.52-3.53, 6 Tm 3.55
Tm  0.3332  0.3336  0.0000  3 Tm 3.55-3.56, 3 La 3.55, 6 Y 3.58
Tm  0.3328  0.3344  0.5000  6 Y 3.52-3.53, 6 Tm 3.54-3.57
Tm  0.6668  0.6664  0.0000  3 Tm 3.55-3.56, 3 La 3.55, 6 Y 3.58
Tm  0.6672  0.6656  0.5000  6 Y 3.52-3.53, 6 Tm 3.54-3.57
Y  0.8307  0.3350  0.7470  5 Tm 3.52-3.58, 6 Y 3.54-3.57, 1 La 3.59
Y  0.4961  0.0000  0.7471  5 Tm 3.52-3.58, 6 Y 3.54-3.57, 1 La 3.59
Y  0.8343  0.3350  0.2530  5 Tm 3.52-3.58, 6 Y 3.54-3.57, 1 La 3.59
Y  0.1657  0.6650  0.7470  5 Tm 3.52-3.58, 6 Y 3.54-3.57, 1 La 3.59
Y  0.5039  0.0000  0.2529  5 Tm 3.52-3.58, 6 Y 3.54-3.57, 1 La 3.59
Y  0.1693  0.6650  0.2530  5 Tm 3.52-3.58, 6 Y 3.54-3.57, 1 La 3.59
La  0.0000  0.0000  0.0000  6 Tm 3.55, 6 Y 3.59

No. 2
# La4YTm4

A geometry-optimized La4YTm4 structure (PBE, the Alexandria database).

For the distance to the lowest polymorph of the same formula, the calculation gives 0.786 eV per atom. Its volume is 343.4 Å³ per cell. The value obtained for the total energy is -0.1497 Ha/atom. For the formation energy, the calculation gives 822 meV/atom.

a b c (Å): 6.2139 6.2139 9.9201
angles (deg): 108.25 108.25 90.00
With the nearest neighbours (Å) after each atom.
Element x y z (fractional)
La  0.1896  0.1896  0.3792  4 Tm 2.99-3.31
La  0.0000  0.5000  0.0000  2 Y 3.11, 4 Tm 3.45
La  0.5000  0.0000  0.0000  2 Y 3.11, 4 Tm 3.45
La  0.8104  0.8104  0.6208  4 Tm 2.99-3.31
Tm  0.8174  0.4723  0.2897  2 La 2.99-3.31, 1 Tm 3.03
Tm  0.4723  0.8174  0.2897  2 La 2.99-3.31, 1 Tm 3.03
Tm  0.5277  0.5277  0.7103  2 La 2.99-3.31, 1 Tm 3.03
Tm  0.1826  0.1826  0.7103  2 La 2.99-3.31, 1 Tm 3.03
Y  0.0000  0.0000  0.0000  6 La 3.11-3.37

No. 3
# La3YTm4

A geometry-optimized La3YTm4 structure (PBE, the Alexandria database).

For the distance to the lowest polymorph of the same formula, the calculation gives 0.114 eV per atom. Its volume is 268.4 Å³ per cell. The value obtained for the total energy is -0.1744 Ha/atom. For the formation energy, the calculation gives 146 meV/atom.

a b c (Å): 3.4898 8.9656 8.9659
angles (deg): 81.95 78.79 78.80
With the nearest neighbours (Å) after each atom.
Element x y z (fractional)
Y  0.5000  0.0000  0.0000  4 Tm 3.37, 2 Y 3.49, 4 La 3.67
La  0.7538  0.2464  0.2464  6 Tm 3.38-3.66, 4 La 3.49-3.75, 2 Y 3.67
La  0.0000  0.5000  0.5000  6 La 3.49-3.75, 8 Tm 3.90
La  0.2462  0.7536  0.7536  6 Tm 3.38-3.66, 4 La 3.49-3.75, 2 Y 3.67
Tm  0.3649  0.3794  0.8906  1 Y 3.37, 3 La 3.38-3.66, 5 Tm 3.48-3.53
Tm  0.3649  0.8906  0.3794  1 Y 3.37, 3 La 3.38-3.66, 5 Tm 3.48-3.53
Tm  0.6351  0.1094  0.6206  1 Y 3.37, 3 La 3.38-3.66, 5 Tm 3.48-3.53
Tm  0.6351  0.6206  0.1094  1 Y 3.37, 3 La 3.38-3.66, 5 Tm 3.48-3.53

No. 4
# LaY8Tm2

A geometry-optimized LaY8Tm2 structure (PBE, the Alexandria database).

For the distance to the lowest polymorph of the same formula, the calculation gives 0.000 eV per atom. Its volume is 362.2 Å³ per cell. The value obtained for the total energy is -0.2147 Ha/atom. For the formation energy, the calculation gives 119 meV/atom.

a b c (Å): 5.5018 8.1874 9.4331
angles (deg): 115.72 106.95 90.00
With the nearest neighbours (Å) after each atom.
Element x y z (fractional)
Y  0.6420  0.8487  0.2840  1 La 3.31, 3 Tm 3.36-3.51, 6 Y 3.38-3.67
Y  0.8355  0.8355  0.6709  2 Tm 3.52, 8 Y 3.54-3.67, 2 La 3.82
Y  0.0000  0.7032  0.0000  7 Y 3.33-3.59, 2 Tm 3.60, 2 La 3.67
Y  0.3580  0.1513  0.7160  1 La 3.31, 3 Tm 3.36-3.51, 6 Y 3.38-3.67
Y  0.3580  0.5647  0.7160  1 La 3.31, 3 Tm 3.36-3.51, 6 Y 3.38-3.67
Y  0.1645  0.1645  0.3291  2 Tm 3.52, 8 Y 3.54-3.67, 2 La 3.82
Y  0.6420  0.4353  0.2840  1 La 3.31, 3 Tm 3.36-3.51, 6 Y 3.38-3.67
Y  0.0000  0.2968  0.0000  7 Y 3.33-3.59, 2 Tm 3.60, 2 La 3.67
Tm  0.1988  0.6988  0.3977  10 Y 3.36-3.60
Tm  0.8012  0.3012  0.6023  10 Y 3.36-3.60
La  0.5000  0.0000  0.0000  8 Y 3.31-3.67

No. 5
# La4Y7Tm

A geometry-optimized La4Y7Tm structure (PBE, the Alexandria database).

For the distance to the lowest polymorph of the same formula, the calculation gives 0.000 eV per atom. Its volume is 402.5 Å³ per cell. The value obtained for the total energy is -0.2120 Ha/atom. For the formation energy, the calculation gives 18 meV/atom.

a b c (Å): 3.6282 3.6282 35.3113
angles (deg): 90.00 90.00 120.00
With the nearest neighbours (Å) after each atom.
Element x y z (fractional)
La  0.6667  0.3333  0.0840  6 La 3.63, 6 Y 3.63-3.65
La  0.6667  0.3333  0.3347  6 La 3.63, 6 Y 3.65-3.66
La  0.3333  0.6667  0.9160  6 La 3.63, 6 Y 3.63-3.65
La  0.3333  0.6667  0.6653  6 La 3.63, 6 Y 3.65-3.66
Y  0.6667  0.3333  0.8314  9 Y 3.55-3.63, 3 La 3.65
Y  0.6667  0.3333  0.5803  3 Tm 3.53, 6 Y 3.63, 3 La 3.66
Y  0.0000  0.0000  0.7501  9 Y 3.55-3.63, 3 La 3.65
Y  0.3333  0.6667  0.1686  9 Y 3.55-3.63, 3 La 3.65
Y  0.0000  0.0000  0.0000  6 Y 3.63, 6 La 3.63
Y  0.3333  0.6667  0.4197  3 Tm 3.53, 6 Y 3.63, 3 La 3.66
Y  0.0000  0.0000  0.2499  9 Y 3.55-3.63, 3 La 3.65
Tm  0.0000  0.0000  0.5000  6 Y 3.53, 6 Tm 3.63

No. 6
# LaYTmZr

A geometry-optimized LaYTmZr structure (PBE, the Alexandria database).

Its volume is 120.1 Å³ per cell. The value obtained for the total energy is -0.2166 Ha/atom. For the formation energy, the calculation gives 208 meV/atom.

a b c (Å): 5.5374 5.5374 5.5374
angles (deg): 60.00 60.00 60.00
With the nearest neighbours (Å) after each atom.
Element x y z (fractional)
Zr  0.0000  0.0000  0.0000  4 Y 3.39, 4 Tm 3.39
Y  0.7500  0.7500  0.7500  4 Zr 3.39, 4 La 3.39
Tm  0.2500  0.2500  0.2500  4 La 3.39, 4 Zr 3.39
La  0.5000  0.5000  0.5000  4 Tm 3.39, 4 Y 3.39

Which formula does entry 1 have?
LaY6Tm5

Copy entry 3 word for word.
# La3YTm4

A geometry-optimized La3YTm4 structure (PBE, the Alexandria database).

For the distance to the lowest polymorph of the same formula, the calculation gives 0.114 eV per atom. Its volume is 268.4 Å³ per cell. The value obtained for the total energy is -0.1744 Ha/atom. For the formation energy, the calculation gives 146 meV/atom.

a b c (Å): 3.4898 8.9656 8.9659
angles (deg): 81.95 78.79 78.80
With the nearest neighbours (Å) after each atom.
Element x y z (fractional)
Y  0.5000  0.0000  0.0000  4 Tm 3.37, 2 Y 3.49, 4 La 3.67
La  0.7538  0.2464  0.2464  6 Tm 3.38-3.66, 4 La 3.49-3.75, 2 Y 3.67
La  0.0000  0.5000  0.5000  6 La 3.49-3.75, 8 Tm 3.90
La  0.2462  0.7536  0.7536  6 Tm 3.38-3.66, 4 La 3.49-3.75, 2 Y 3.67
Tm  0.3649  0.3794  0.8906  1 Y 3.37, 3 La 3.38-3.66, 5 Tm 3.48-3.53
Tm  0.3649  0.8906  0.3794  1 Y 3.37, 3 La 3.38-3.66, 5 Tm 3.48-3.53
Tm  0.6351  0.1094  0.6206  1 Y 3.37, 3 La 3.38-3.66, 5 Tm 3.48-3.53
Tm  0.6351  0.6206  0.1094  1 Y 3.37, 3 La 3.38-3.66, 5 Tm 3.48-3.53